Na5B8C2 after structural relaxation. Source: the Alexandria database, functional GGA-PBE.

Results
Formation energy (eV/atom): 0.201
DOS(E_F) (states/eV/atom): 0.134
M_tot (Bohr magnetons per cell): 0.000
Final energy (eV per cell): -150.90

a = 5.0276 Å, b = 7.8275 Å, c = 9.1365 Å
α = 75.88°, β = 74.03°, γ = 71.27°
Last column: nearest neighbours and their distance in Å.
Space group P1 (No. 1)
Inequivalent atoms, fractional coordinates:
Na (0.0000, 0.0000, 0.0000)  10 B 2.65-2.85, 2 C 2.74-2.80, 6 Na 2.90-2.96
Na (0.0012, 0.4990, 0.4989)  8 B 2.69-2.81, 4 C 2.71-2.73, 6 Na 2.91-2.96
Na (0.1955, 0.6003, 0.9997)  9 B 2.68-2.87, 3 C 2.71-2.73, 6 Na 2.91-2.97
Na (0.2011, 0.1002, 0.4987)  10 B 2.65-2.87, 2 C 2.73-2.79, 6 Na 2.90-2.96
Na (0.3957, 0.7012, 0.4989)  10 B 2.70-2.87, 2 C 2.70-2.77, 6 Na 2.91-2.98
Na (0.4011, 0.1994, 0.0002)  10 B 2.64-2.87, 2 C 2.78-2.80, 4 Na 2.91-2.92
Na (0.5958, 0.7985, 0.0011)  10 B 2.69-2.88, 2 C 2.70-2.76, 6 Na 2.90-2.97
Na (0.6031, 0.2995, 0.4965)  3 C 2.71-2.78, 9 B 2.72-2.79, 6 Na 2.91-2.98
Na (0.7966, 0.8981, 0.5002)  11 B 2.66-2.87, 1 C 2.81, 6 Na 2.90-2.97
Na (0.8002, 0.3978, 0.0014)  3 C 2.71-2.76, 9 B 2.71-2.81, 6 Na 2.91-2.97
B (0.0145, 0.8462, 0.7504)  3 B 1.71-1.77
B (0.0304, 0.3605, 0.2499)  2 C 1.62-1.69, 1 B 1.77
B (0.1691, 0.2496, 0.7483)  1 C 1.63, 2 B 1.74
B (0.2109, 0.9335, 0.2498)  1 C 1.58, 1 B 1.69
B (0.2372, 0.4542, 0.7489)  3 B 1.66-1.74
B (0.3528, 0.8572, 0.7509)  3 B 1.66-1.73
B (0.4366, 0.5491, 0.2498)  3 C 1.63-1.69
B (0.4413, 0.0445, 0.7497)  3 B 1.66-1.74
B (0.5796, 0.9521, 0.2488)  2 B 1.69-1.77
B (0.5927, 0.4309, 0.7490)  1 C 1.57, 1 B 1.74
B (0.5970, 0.1643, 0.2489)  1 C 1.59, 1 B 1.69
B (0.6119, 0.6526, 0.7506)  3 B 1.71-1.77
B (0.7739, 0.0683, 0.7491)  1 C 1.57, 1 B 1.74
B (0.8410, 0.7376, 0.2498)  2 C 1.62-1.70, 1 B 1.77
B (0.9614, 0.6415, 0.7502)  3 B 1.66-1.73
B (0.9821, 0.1463, 0.2498)  2 B 1.69-1.77
C (0.1774, 0.7391, 0.2500)  3 B 1.58-1.70
C (0.3680, 0.3593, 0.2493)  3 B 1.59-1.69
C (0.7730, 0.5490, 0.2503)  3 B 1.62-1.69
C (0.8457, 0.2497, 0.7483)  3 B 1.57-1.63

---

Na8B15C after structural relaxation. Source: the Alexandria database, functional GGA-PBE.

Results
Formation energy (eV/atom): 0.274
DOS(E_F) (states/eV/atom): 0.359
M_tot (Bohr magnetons per cell): 0.001
Final energy (eV per cell): -453.41

a = 6.0038 Å, b = 17.1719 Å, c = 10.4795 Å
α = 90.00°, β = 90.00°, γ = 90.00°
Last column: nearest neighbours and their distance in Å.
Space group Fmm2 (No. 42)
Inequivalent atoms, fractional coordinates:
Na (0.0000, 0.1251, 0.0002)  12 B 2.74-2.84, 6 Na 3.00-3.02
Na (0.0000, 0.1254, 0.5000)  11 B 2.73-2.78, 1 C 2.77, 6 Na 3.00-3.02
Na (0.2496, 0.1254, 0.2501)  11 B 2.73-2.78, 1 C 2.77, 6 Na 3.00-3.02
B (0.0000, 0.0000, 0.1640)  3 B 1.78
B (0.0000, 0.0000, 0.3334)  3 B 1.77-1.78
B (0.0000, 0.0000, 0.8225)  1 C 1.63, 2 B 1.79
B (0.0000, 0.2492, 0.8319)  3 B 1.72-1.75
B (0.0000, 0.2501, 0.1682)  3 B 1.72-1.75
B (0.2340, 0.0000, 0.5888)  1 C 1.63, 2 B 1.78-1.79
B (0.2458, 0.0000, 0.9184)  3 B 1.77-1.79
B (0.2500, 0.2500, 0.0819)  3 B 1.71-1.75
B (0.2500, 0.2500, 0.4183)  3 B 1.71-1.75
C (0.0000, 0.0000, 0.6667)  3 B 1.63

---

Na2B3C after structural relaxation. Source: the Alexandria database, functional GGA-PBE.

Results
Formation energy (eV/atom): 0.149
DOS(E_F) (states/eV/atom): 0.204
M_tot (Bohr magnetons per cell): 0.000
Final energy (eV per cell): -309.99

a = 23.2944 Å, b = 2.8206 Å, c = 10.0717 Å
α = 90.00°, β = 106.65°, γ = 90.00°
Last column: nearest neighbours and their distance in Å.
Space group Cm (No. 8)
Inequivalent atoms, fractional coordinates:
Na (0.0000, 0.0000, 0.0000)  10 B 2.67-2.93, 2 C 2.78, 4 Na 2.82-2.96
Na (0.0001, 0.5000, 0.4962)  11 B 2.68-2.96, 1 C 2.82, 6 Na 2.82-2.99
Na (0.1007, 0.5000, 0.1979)  8 B 2.67-2.84, 4 C 2.70-2.77, 6 Na 2.82-2.96
Na (0.1017, 0.0000, 0.6957)  8 B 2.66-2.83, 4 C 2.70-2.77, 4 Na 2.82-2.94
Na (0.1994, 0.0000, 0.3954)  7 B 2.62-2.81, 5 C 2.66-2.78, 2 Na 2.82
Na (0.2001, 0.5000, 0.8953)  8 B 2.69-2.83, 4 C 2.70-2.72, 6 Na 2.82-2.94
Na (0.2970, 0.0000, 0.0964)  7 B 2.63-2.82, 5 C 2.65-2.73, 4 Na 2.82-2.93
Na (0.2978, 0.5000, 0.5955)  10 B 2.67-2.86, 2 C 2.79-2.87, 6 Na 2.82-2.97
Na (0.3980, 0.5000, 0.2961)  11 B 2.67-2.92, 4 Na 2.82-2.98, 1 C 2.86
Na (0.3988, 0.0000, 0.7946)  10 B 2.68-2.99, 2 C 2.75, 4 Na 2.82-2.97
B (0.0224, 0.0000, 0.2901)  3 B 1.72-1.78
B (0.0281, 0.5000, 0.8022)  1 C 1.56
B (0.0885, 0.0000, 0.4212)  2 C 1.62, 1 B 1.72
B (0.1198, 0.0000, 0.9858)  3 C 1.62-1.64
B (0.1795, 0.5000, 0.6048)  1 C 1.58, 2 B 1.74
B (0.2131, 0.5000, 0.1736)  3 C 1.63-1.64
B (0.2182, 0.0000, 0.6839)  3 B 1.72-1.74
B (0.2839, 0.0000, 0.8175)  2 C 1.63, 1 B 1.72
B (0.3071, 0.0000, 0.3632)  2 C 1.63, 1 B 1.77
B (0.3739, 0.5000, 0.9983)  1 C 1.54
B (0.3748, 0.0000, 0.4994)  3 B 1.77-1.82
B (0.4163, 0.0000, 0.0826)  3 B 1.65-1.79
B (0.4193, 0.5000, 0.5867)  3 B 1.68-1.82
B (0.4800, 0.0000, 0.2078)  3 B 1.65-1.78
B (0.4840, 0.5000, 0.7142)  3 B 1.68-1.82
C (0.0878, 0.5000, 0.9216)  3 B 1.56-1.64
C (0.1192, 0.5000, 0.4822)  3 B 1.58-1.62
C (0.1818, 0.0000, 0.1106)  3 B 1.62-1.63
C (0.2759, 0.5000, 0.3000)  3 B 1.63-1.64
C (0.3148, 0.5000, 0.8810)  3 B 1.54-1.63

---

Relative energy among the computed polymorphs per entry: 0.030 0.005 0.016 eV per atom